PBE Cs2BaAgI5, optimized geometry; symmetry = Cmc2_1, No. 36; volume = 456.8 Å³/f.u.; uncorrected formation energy = -31.1 kcal/mol of atoms
1.0
-4.266 2.011 -1.853
1.749 -8.986 -6.848
-8.709 -9.290 9.967
I Cs Ag Ba
10 4 2 2
direct
0.964 0.929 0.504
0.312 0.623 0.379
0.499 0.998 0.763
0.657 0.313 0.518
0.698 0.397 0.176
0.501 0.002 0.263
0.036 0.071 0.004
0.302 0.603 0.676
0.688 0.377 0.879
0.343 0.687 0.018
0.118 0.235 0.692
0.884 0.767 0.844
0.882 0.765 0.192
0.116 0.233 0.344
0.443 0.886 0.418
0.557 0.114 0.918
0.810 0.619 0.530
0.190 0.381 0.030

=====

PBE Cs2BaAgI6, optimized geometry; symmetry = I4/mmm, No. 139; volume = 504.8 Å³/f.u.; uncorrected formation energy = -25.6 kcal/mol of atoms
1.0
8.956 0.000 0.000
0.000 8.956 0.000
4.478 4.478 6.293
Cs Ba I Ag
2 1 6 1
direct
0.250 0.750 0.500
0.750 0.250 0.500
0.000 0.000 0.000
0.733 0.733 0.534
0.265 0.265 0.000
0.735 0.265 0.000
0.267 0.267 0.466
0.265 0.735 0.000
0.735 0.735 0.000
0.500 0.500 0.000

=====

PBE CsBaAgIr2, optimized geometry; symmetry = P4/mmm, No. 123; volume = 156.7 Å³/f.u.; energy of formation from the pure elements = 1.64 eV per atom
1.0
-0.548 4.456 2.726
-4.631 -2.112 2.521
2.991 -1.979 3.837
Ir Cs Ba Ag
2 1 1 1
direct
0.000 0.000 0.500
0.500 0.000 0.000
0.000 0.000 0.000
0.500 0.500 0.500
0.000 0.500 0.000

=====

PBE Cs2KBaAg, optimized geometry; symmetry = P4/mmm, No. 123; volume = 366.1 Å³/f.u.; energy of formation from the pure elements = 0.07 eV per atom
1.0
-0.176 6.516 3.389
-2.188 -3.283 6.198
6.472 -0.795 1.864
Cs Ba K Ag
2 1 1 1
direct
0.000 0.500 0.000
0.500 0.000 0.000
0.000 0.000 0.500
0.500 0.500 0.500
0.000 0.000 0.000

=====

PBE CsBa2MgAg, optimized geometry; symmetry = P4/mmm, No. 123; volume = 248.3 Å³/f.u.; energy of formation from the pure elements = 0.04 eV per atom
1.0
-0.642 4.032 5.279
-4.415 -4.222 2.687
4.146 -2.701 2.567
Mg Ba Ag Cs
1 2 1 1
direct
0.000 0.000 0.500
0.500 0.000 0.000
0.000 0.500 0.000
0.000 0.000 0.000
0.500 0.500 0.500

=====

PBE CsBa2AgN, optimized geometry; symmetry = P4/mmm, No. 123; volume = 238.3 Å³/f.u.; uncorrected formation energy = 5.8 kcal/mol of atoms
1.0
5.374 0.000 0.000
0.000 8.251 0.000
0.000 0.000 5.374
Ba N Cs Ag
2 1 1 1
direct
0.000 0.000 0.500
0.500 0.000 0.000
0.000 0.000 0.000
0.500 0.500 0.500
0.000 0.500 0.000

=====

PBE CsBa2NaAg, optimized geometry; symmetry = P4/mmm, No. 123; distance to the lowest polymorph of the same formula = 0 meV/atom; volume = 274.9 Å³/f.u.; energy of formation from the pure elements = 0.03 eV per atom
1.0
6.581 0.000 0.000
0.000 6.581 0.000
0.000 0.000 6.347
Ag Ba Na Cs
1 2 1 1
direct
0.000 0.000 0.000
0.000 0.500 0.000
0.500 0.000 0.000
0.000 0.000 0.500
0.500 0.500 0.500

=====

PBE CsBa2NaAg, optimized geometry; symmetry = P4/mmm, No. 123; distance to the lowest polymorph of the same formula = 16 meV/atom; volume = 309.4 Å³/f.u.; energy of formation from the pure elements = 0.04 eV per atom
1.0
-4.320 3.876 -3.125
-4.791 -4.362 1.213
-1.463 3.312 6.130
Ba Na Ag Cs
2 1 1 1
direct
0.500 0.000 0.000
0.000 0.500 0.000
0.500 0.500 0.500
0.000 0.000 0.000
0.000 0.000 0.500

=====

- Which value of volume does entry 8 give?
  309.4 Å³/f.u.

=====

- The highest volume belongs to which entry?
  Cs2BaAgI6

=====

- Look up the volume of the first one.
  456.8 Å³/f.u.

=====

- Look up the volume of the second one.
  504.8 Å³/f.u.